# Er3Zn

A relaxed structure of Er3Zn (PBE, the Alexandria database).

formation energy from the elements: -0.6 eV per formula unit
E: -3.8932 eV/atom

abc: 3.636 5.207 11.181
angles: 90.00 90.00 90.00
Space group Immm (No. 71)
Asymmetric unit:
Er 0.000 0.000 0.000 (multiplicity 2)
Er 0.000 0.500 0.213 (multiplicity 4)
Zn 0.000 0.000 0.500 (multiplicity 2)


# AcY2Be

A relaxed structure of AcY2Be (PBE, the Alexandria database).

formation energy from the elements: 0.4 eV per formula unit
E: -5.0869 eV/atom

abc: 3.558 3.558 9.087
angles: 90.00 90.00 90.00
Space group P4/mmm (No. 123)
Asymmetric unit:
Ac 0.000 0.000 0.000 (multiplicity 1)
Y 0.500 0.500 0.321 (multiplicity 2)
Be 0.000 0.000 0.500 (multiplicity 1)


# TlCuSb

A relaxed structure of TlCuSb (PBE, the Alexandria database).

formation energy from raw total energies: 118 meV/atom
E: -3.4102 eV/atom

abc: 4.4115 4.4115 4.7348
angles: 90.00 90.00 120.00
Space group P3m1 (No. 156)
Asymmetric unit:
Tl 0.0000 0.0000 0.0000 (multiplicity 1)
Cu 0.6667 0.3333 0.4798 (multiplicity 1)
Sb 0.3333 0.6667 0.5006 (multiplicity 1)


# HfMnNbMo

A relaxed structure of HfMnNbMo (PBE, the Alexandria database).

formation energy from the elements: -0.2 eV per formula unit
E: -10.0666 eV/atom

abc: 6.404 6.404 6.404
angles: 90.00 90.00 90.00
Space group F-43m (No. 216)
Asymmetric unit:
Hf 0.000 0.000 0.000 (multiplicity 4)
Mn 0.250 0.250 0.250 (multiplicity 4)
Nb 0.000 0.000 0.500 (multiplicity 4)
Mo 0.250 0.250 0.750 (multiplicity 4)


# InGaCF2

A relaxed structure of InGaCF2 (PBE, the Alexandria database).

formation energy from raw total energies: 154 meV/atom
E: -3.5926 eV/atom

abc: 4.064 4.064 4.646
angles: 90.00 90.00 90.00
Space group P4/mmm (No. 123)
Asymmetric unit:
In 0.000 0.000 0.000 (multiplicity 1)
Ga 0.500 0.500 0.000 (multiplicity 1)
C 0.000 0.000 0.500 (multiplicity 1)
F 0.000 0.500 0.500 (multiplicity 2)


# Be2Cd4P

A relaxed structure of Be2Cd4P (PBE, the Alexandria database).

formation energy from the elements: 3.5 eV per formula unit
E: -1.8572 eV/atom

abc: 5.210 5.210 11.864
angles: 90.00 90.00 90.00
Space group I4/mmm (No. 139)
Asymmetric unit:
Be 0.000 0.000 0.084 (multiplicity 4)
Cd 0.000 0.000 0.281 (multiplicity 4)
Cd 0.000 0.500 0.000 (multiplicity 4)
P 0.000 0.000 0.500 (multiplicity 2)


# Sm6DyEr6

A relaxed structure of Sm6DyEr6 (PBE, the Alexandria database).

formation energy from the elements: 2.9 eV per formula unit
E: -4.4160 eV/atom

abc: 6.566 11.046 6.598
angles: 90.00 115.20 90.00
Space group P2/m (No. 10)
Asymmetric unit:
Sm 0.000 0.171 0.000 (multiplicity 2)
Sm 0.270 0.000 0.743 (multiplicity 2)
Sm 0.328 0.500 0.611 (multiplicity 2)
Dy 0.000 0.500 0.000 (multiplicity 1)
Er 0.000 0.267 0.500 (multiplicity 2)
Er 0.500 0.198 0.500 (multiplicity 2)
Er 0.500 0.285 0.000 (multiplicity 2)


# Ac3P4Pd7

A relaxed structure of Ac3P4Pd7 (PBE, the Alexandria database).

formation energy from the elements: -12.8 eV per formula unit
E: -5.9361 eV/atom

abc: 16.094 4.202 9.561
angles: 90.00 120.83 90.00
Space group C2/m (No. 12)
Asymmetric unit:
Ac 0.000 0.000 0.000 (multiplicity 2)
Ac 0.186 0.500 0.639 (multiplicity 4)
P 0.116 0.000 0.808 (multiplicity 4)
P 0.150 0.500 0.266 (multiplicity 4)
Pd 0.000 0.000 0.500 (multiplicity 2)
Pd 0.024 0.500 0.746 (multiplicity 4)
Pd 0.108 0.000 0.349 (multiplicity 4)
Pd 0.207 0.500 0.056 (multiplicity 4)


# Sm5Ga2Au2

A relaxed structure of Sm5Ga2Au2 (PBE, the Alexandria database).

formation energy from the elements: -5.6 eV per formula unit
E: -4.6396 eV/atom

abc: 16.149 7.729 7.713
angles: 90.00 90.00 90.00
Space group Cmce (No. 64)
Asymmetric unit:
Sm 0.000 0.000 0.000 (multiplicity 4)
Sm 0.140 0.179 0.328 (multiplicity 16)
Ga 0.000 0.118 0.618 (multiplicity 8)
Au 0.208 0.000 0.000 (multiplicity 8)


# TlReHg2

A relaxed structure of TlReHg2 (PBE, the Alexandria database).

formation energy from the elements: 3.9 eV per formula unit
E: -2.8847 eV/atom

abc: 4.181 4.181 9.424
angles: 90.00 90.00 90.00
Space group I-4m2 (No. 119)
Asymmetric unit:
Tl 0.000 0.000 0.000 (multiplicity 2)
Re 0.000 0.500 0.250 (multiplicity 2)
Hg 0.000 0.000 0.500 (multiplicity 2)
Hg 0.000 0.500 0.750 (multiplicity 2)


# ZrIr2Se

A relaxed structure of ZrIr2Se (PBE, the Alexandria database).

formation energy from raw total energies: -15 meV/atom
E: -7.4540 eV/atom

abc: 3.0206 3.0206 26.0567
angles: 90.00 90.00 120.00
Space group R-3m (No. 166, hexagonal axes)
Asymmetric unit:
Zr 0.0000 0.0000 0.0000 (multiplicity 3)
Ir 0.0000 0.0000 0.2473 (multiplicity 6)
Se 0.0000 0.0000 0.5000 (multiplicity 3)


# MgFe3Rh4

A relaxed structure of MgFe3Rh4 (PBE, the Alexandria database).

formation energy from the elements: -1.4 eV per formula unit
E: -7.2285 eV/atom

abc: 3.018 4.298 8.595
angles: 90.00 90.00 90.00
Space group Pmmm (No. 47)
Asymmetric unit:
Mg 0.000 0.000 0.000 (multiplicity 1)
Fe 0.000 0.000 0.500 (multiplicity 1)
Fe 0.000 0.500 0.249 (multiplicity 2)
Rh 0.500 0.000 0.259 (multiplicity 2)
Rh 0.500 0.500 0.000 (multiplicity 1)
Rh 0.500 0.500 0.500 (multiplicity 1)


# Re2RuSe

A relaxed structure of Re2RuSe (PBE, the Alexandria database).

formation energy from raw total energies: 449 meV/atom
E: -8.9654 eV/atom

abc: 2.927 3.850 5.497
angles: 90.00 90.00 90.00
Space group Pmm2 (No. 25)
Asymmetric unit:
Re 0.000 0.000 0.000 (multiplicity 1)
Re 0.500 0.500 0.187 (multiplicity 1)
Ru 0.000 0.000 0.491 (multiplicity 1)
Se 0.500 0.500 0.670 (multiplicity 1)


# Ca2NbAl2

A relaxed structure of Ca2NbAl2 (PBE, the Alexandria database).

formation energy from the elements: 2.4 eV per formula unit
E: -3.8393 eV/atom

abc: 8.704 8.704 3.098
angles: 90.00 90.00 90.00
Space group P4/mbm (No. 127)
Asymmetric unit:
Ca 0.126 0.374 0.000 (multiplicity 4)
Nb 0.000 0.000 0.000 (multiplicity 2)
Al 0.173 0.673 0.500 (multiplicity 4)


# LaPmGeSe

A relaxed structure of LaPmGeSe (PBE, the Alexandria database).

formation energy from raw total energies: -1425 meV/atom
E: -5.8702 eV/atom

abc: 4.3153 4.3153 21.2397
angles: 90.00 90.00 120.00
Space group R3m (No. 160, hexagonal axes)
Asymmetric unit:
La 0.0000 0.0000 0.0000 (multiplicity 3)
Pm 0.0000 0.0000 0.4939 (multiplicity 3)
Ge 0.0000 0.0000 0.7490 (multiplicity 3)
Se 0.0000 0.0000 0.2448 (multiplicity 3)


# KYIO2

A relaxed structure of KYIO2 (PBE, the Alexandria database).

formation energy from raw total energies: -95 meV/atom
E: -3.9003 eV/atom

abc: 4.626 4.626 5.681
angles: 90.00 90.00 90.00
Space group P4/mmm (No. 123)
Asymmetric unit:
K 0.000 0.000 0.000 (multiplicity 1)
Y 0.500 0.500 0.500 (multiplicity 1)
I 0.000 0.000 0.500 (multiplicity 1)
O 0.000 0.500 0.000 (multiplicity 2)


# LaCeNd6Sm2

A relaxed structure of LaCeNd6Sm2 (PBE, the Alexandria database).

formation energy from the elements: 2.2 eV per formula unit
E: -4.6689 eV/atom

abc: 11.471 6.982 9.037
angles: 90.00 103.84 90.00
Space group C2/m (No. 12)
Asymmetric unit:
La 0.000 0.000 0.000 (multiplicity 2)
Ce 0.000 0.500 0.500 (multiplicity 2)
Nd 0.128 0.500 0.916 (multiplicity 4)
Nd 0.174 0.238 0.302 (multiplicity 8)
Sm 0.091 0.000 0.659 (multiplicity 4)


# CaCd2Mo

A relaxed structure of CaCd2Mo (PBE, the Alexandria database).

formation energy from the elements: 2.0 eV per formula unit
E: -3.1588 eV/atom

abc: 7.143 7.143 7.143
angles: 90.00 90.00 90.00
Space group F-43m (No. 216)
Asymmetric unit:
Ca 0.000 0.000 0.000 (multiplicity 4)
Cd 0.000 0.000 0.500 (multiplicity 4)
Cd 0.250 0.250 0.250 (multiplicity 4)
Mo 0.250 0.250 0.750 (multiplicity 4)


# SrTeRh2F

A relaxed structure of SrTeRh2F (PBE, the Alexandria database).

formation energy from raw total energies: -261 meV/atom
E: -4.5401 eV/atom

abc: 4.780 4.780 6.660
angles: 90.00 90.00 90.00
Space group P4/mmm (No. 123)
Asymmetric unit:
Sr 0.000 0.000 0.000 (multiplicity 1)
Te 0.000 0.000 0.500 (multiplicity 1)
Rh 0.000 0.500 0.500 (multiplicity 2)
F 0.500 0.500 0.000 (multiplicity 1)


# Ac5Sn2RhO

A relaxed structure of Ac5Sn2RhO (PBE, the Alexandria database).

formation energy from raw total energies: -1100 meV/atom
E: -5.6395 eV/atom

abc: 4.672 19.870 13.009
angles: 90.00 90.00 90.00
Space group Cmc2_1 (No. 36)
Asymmetric unit:
Ac 0.000 0.001 0.000 (multiplicity 4)
Ac 0.000 0.151 0.218 (multiplicity 4)
Ac 0.000 0.187 0.588 (multiplicity 4)
Ac 0.000 0.220 0.888 (multiplicity 4)
Ac 0.000 0.445 0.235 (multiplicity 4)
Sn 0.000 0.377 0.523 (multiplicity 4)
Sn 0.000 0.395 0.902 (multiplicity 4)
Rh 0.000 0.295 0.239 (multiplicity 4)
O 0.000 0.058 0.662 (multiplicity 4)